Entry 1:
Below is a relaxed BaCaZr crystal, with properties calculated at the PBE level.

a = 3.6684 Å, b = 3.6684 Å, c = 9.2031 Å
α = 90.00°, β = 90.00°, γ = 120.00°
Space group P3m1 (No. 156)
Asymmetric unit:
Ba  0.0000  0.0000  0.0000
Ca  0.3333  0.6667  0.3923
Zr  0.6667  0.3333  0.6836

ρ = 4.16 g cm⁻³
Formation energy from the elements = 0.461 eV/atom
Energy above the most stable polymorph in this dataset = 0.35 eV per formula unit



Entry 2:
Below is a relaxed BaCaZr2 crystal, with properties calculated at the PBE level.

a = 3.973 Å, b = 3.973 Å, c = 8.344 Å
α = 90.00°, β = 90.00°, γ = 90.00°
Space group P4/mmm (No. 123)
Asymmetric unit:
Ba  0.000  0.000  0.000
Ca  0.000  0.000  0.500
Zr  0.500  0.500  0.309

ρ = 4.54 g cm⁻³
Formation energy from the elements = 0.711 eV/atom
Energy above the most stable polymorph in this dataset = 1.63 eV per formula unit



Entry 3:
Below is a relaxed BaCaZr2 crystal, with properties calculated at the PBE level.

a = 3.614 Å, b = 5.691 Å, c = 5.920 Å
α = 90.00°, β = 90.00°, γ = 90.00°
Space group Pmmm (No. 47)
Asymmetric unit:
Ba  0.000  0.000  0.000
Ca  0.500  0.500  0.000
Zr  0.000  0.500  0.500
Zr  0.500  0.000  0.500

ρ = 4.91 g cm⁻³
Formation energy from the elements = 0.633 eV/atom
Energy above the most stable polymorph in this dataset = 1.32 eV per formula unit



Entry 4:
Below is a relaxed BaCaZr2 crystal, with properties calculated at the PBE level.

a = 5.233 Å, b = 5.233 Å, c = 8.981 Å
α = 90.00°, β = 90.00°, γ = 90.00°
Space group I-4m2 (No. 119)
Asymmetric unit:
Ba  0.000  0.000  0.000
Ca  0.000  0.500  0.750
Zr  0.000  0.000  0.500
Zr  0.000  0.500  0.250

ρ = 4.86 g cm⁻³
Formation energy from the elements = 0.604 eV/atom
Energy above the most stable polymorph in this dataset = 1.20 eV per formula unit



Entry 5:
Below is a relaxed BaCaZr2 crystal, with properties calculated at the PBE level.

a = 3.425 Å, b = 6.255 Å, c = 12.325 Å
α = 90.00°, β = 90.00°, γ = 90.00°
Space group Imm2 (No. 44)
Asymmetric unit:
Ba  0.000  0.000  0.000
Ca  0.000  0.500  0.789
Zr  0.000  0.000  0.544
Zr  0.000  0.500  0.233

ρ = 4.53 g cm⁻³
Formation energy from the elements = 0.535 eV/atom
Energy above the most stable polymorph in this dataset = 0.93 eV per formula unit



Entry 6:
Below is a relaxed BaCaZr crystal, with properties calculated at the PBE level.

a = 6.0017 Å, b = 6.0017 Å, c = 3.3394 Å
α = 90.00°, β = 90.00°, γ = 120.00°
Space group P-6m2 (No. 187)
Asymmetric unit:
Ba  0.0000  0.0000  0.0000
Ca  0.6667  0.3333  0.0000
Zr  0.3333  0.6667  0.5000

ρ = 4.28 g cm⁻³
Formation energy from the elements = 0.563 eV/atom
Energy above the most stable polymorph in this dataset = 0.65 eV per formula unit



Entry 7:
Below is a relaxed BaCaZr2 crystal, with properties calculated at the PBE level.

a = 3.275 Å, b = 5.933 Å, c = 6.782 Å
α = 90.00°, β = 102.92°, γ = 90.00°
Space group P2/m (No. 10)
Asymmetric unit:
Ba  0.000  0.000  0.000
Ca  0.500  0.000  0.500
Zr  0.322  0.500  0.696

ρ = 4.65 g cm⁻³
Formation energy from the elements = 0.548 eV/atom
Energy above the most stable polymorph in this dataset = 0.98 eV per formula unit



Entry 8:
Below is a relaxed BaCaZr crystal, with properties calculated at the PBE level.

a = 5.2516 Å, b = 5.2516 Å, c = 11.4223 Å
α = 90.00°, β = 90.00°, γ = 120.00°
Space group P6_3/mmc (No. 194)
Asymmetric unit:
Ba  0.0000  0.0000  0.2500
Ca  0.3333  0.6667  0.2500
Zr  0.0000  0.0000  0.0000

ρ = 3.27 g cm⁻³
Formation energy from the elements = 1.977 eV/atom
Energy above the most stable polymorph in this dataset = 4.89 eV per formula unit